[1]
DFT (PBEsol) results for a relaxed structure of HfC3Se.

Geometry as CIF:
```
data_HfC3Se
_chemical_formula_sum 'Hf1 C3 Se1'
_symmetry_space_group_name_H-M 'P m -3 m'
_symmetry_Int_Tables_number 221
_symmetry_space_group_name_Hall '-P 4 2 3'
_cell_length_a 4.286
_cell_length_b 4.286
_cell_length_c 4.286
_cell_angle_alpha 90.00
_cell_angle_beta 90.00
_cell_angle_gamma 90.00
loop_
_atom_site_label
_atom_site_fract_x
_atom_site_fract_y
_atom_site_fract_z
Hf1 0.000 0.000 0.000
C1 0.000 0.000 0.500
Se1 0.500 0.500 0.500
```

Properties
formation energy from raw total energies = 2.362 eV/atom

---

[2]
DFT (PBEsol) results for a relaxed structure of HfTcC2Se.

Geometry as CIF:
```
data_HfTcC2Se
_chemical_formula_sum 'Hf1 Tc1 C2 Se1'
_symmetry_space_group_name_H-M 'P 4/m m m'
_symmetry_Int_Tables_number 123
_symmetry_space_group_name_Hall '-P 4 2'
_cell_length_a 4.120
_cell_length_b 4.120
_cell_length_c 5.183
_cell_angle_alpha 90.00
_cell_angle_beta 90.00
_cell_angle_gamma 90.00
loop_
_atom_site_label
_atom_site_fract_x
_atom_site_fract_y
_atom_site_fract_z
Hf1 0.000 0.000 0.000
Tc1 0.000 0.000 0.500
C1 0.000 0.500 0.000
Se1 0.500 0.500 0.500
```

Properties
formation energy from raw total energies = 2.122 eV/atom

---

Question: formation energy from raw total energies of number 2 (HfTcC2Se)?
Answer: 2.122 eV/atom